[1]
Density functional theory data (PBE-GGA) for a relaxed structure of LaScIr2.

a b c (Å): 3.8919 3.8919 5.7555
angles (deg): 90.00 90.00 90.00
Element x y z (fractional)
Ir  0.0000  0.0000  0.9305
Ir  0.5000  0.5000  0.3082
La  0.0000  0.0000  0.4312
Sc  0.5000  0.5000  0.8300

Results
The energy above the most stable polymorph in this dataset is 0.3458 eV/atom. As for the total magnetic moment: 0.000 μB per formula unit. The calculated volume comes out at 87.2 Å³ per cell. Its space-group type is P4mm (99). For the energy relative to the elements, the calculation gives -147 kJ/mol of formula units.

***

[2]
Density functional theory data (PBE-GGA) for a relaxed structure of KSrAu10.

a b c (Å): 4.6092 5.7151 10.0404
angles (deg): 90.00 90.00 90.00
Element x y z (fractional)
K  0.0000  0.0000  0.0000
Sr  0.0000  0.5000  0.5000
Au  0.0000  0.0000  0.3345
Au  0.0000  0.5000  0.8325
Au  0.0000  0.5000  0.1675
Au  0.0000  0.0000  0.6655
Au  0.5000  0.0000  0.5000
Au  0.5000  0.5000  0.0000
Au  0.5000  0.2530  0.2539
Au  0.5000  0.7470  0.7461
Au  0.5000  0.7470  0.2539
Au  0.5000  0.2530  0.7461

Results
As for the total magnetic moment: 0.000 μB per formula unit. The calculated volume comes out at 264.5 Å³ per cell. Its space-group type is Pmmm (47). For the energy relative to the elements, the calculation gives -392 kJ/mol of formula units.

***

[3]
Density functional theory data (PBE-GGA) for a relaxed structure of AcIn2Ir2.

a b c (Å): 4.4185 4.4185 6.7188
angles (deg): 109.20 109.20 90.00
Element x y z (fractional)
Ac  0.0000  0.0000  0.0000
In  0.7500  0.2500  0.5000
In  0.2500  0.7500  0.5000
Ir  0.6042  0.6042  0.2083
Ir  0.3958  0.3958  0.7917

Results
As for the total magnetic moment: 0.000 μB per formula unit. The calculated volume comes out at 116.1 Å³ per cell. Its space-group type is I4/mmm (139). For the energy relative to the elements, the calculation gives -216 kJ/mol of formula units.

***

[4]
Density functional theory data (PBE-GGA) for a relaxed structure of CsSrAl2Cl.

a b c (Å): 5.9168 5.6181 5.9168
angles (deg): 90.00 90.00 90.00
Element x y z (fractional)
Cs  0.5000  0.5000  0.5000
Sr  0.0000  0.5000  0.0000
Al  0.0000  0.0000  0.5000
Al  0.5000  0.0000  0.0000
Cl  0.0000  0.0000  0.0000

Results
As for the total magnetic moment: 0.008 μB per formula unit. The calculated volume comes out at 196.7 Å³ per cell. Its space-group type is P4/mmm (123). For the raw formation energy, the calculation gives 0.075 eV/atom.

***

[5]
Density functional theory data (PBE-GGA) for a relaxed structure of Np2Mn12Ge7.

a b c (Å): 3.6081 9.9566 9.9566
angles (deg): 120.00 90.00 90.00
Element x y z (fractional)
Np  0.5000  0.0000  0.0000
Np  0.0000  0.6667  0.3333
Mn  0.5000  0.9035  0.6197
Mn  0.5000  0.7162  0.0965
Mn  0.5000  0.3803  0.2838
Mn  0.5000  0.2405  0.7977
Mn  0.5000  0.5572  0.7595
Mn  0.5000  0.2023  0.4428
Mn  0.0000  0.0541  0.5517
Mn  0.0000  0.4977  0.9459
Mn  0.0000  0.4483  0.5023
Mn  0.0000  0.7692  0.7114
Mn  0.0000  0.9422  0.2308
Mn  0.0000  0.2886  0.0578
Ge  0.0000  0.3333  0.6667
Ge  0.0000  0.0542  0.7992
Ge  0.0000  0.7450  0.9458
Ge  0.0000  0.2008  0.2550
Ge  0.5000  0.6245  0.5385
Ge  0.5000  0.9141  0.3755
Ge  0.5000  0.4615  0.0859

Results
As for the total magnetic moment: 32.977 μB per formula unit. The calculated volume comes out at 309.8 Å³ per cell. Its space-group type is P-6 (174). For the energy relative to the elements, the calculation gives -135 kJ/mol of formula units.

***

[6]
Density functional theory data (PBE-GGA) for a relaxed structure of Tl3Sn.

a b c (Å): 4.9313 4.9313 4.9313
angles (deg): 90.00 90.00 90.00
Element x y z (fractional)
Tl  0.0000  0.5000  0.5000
Tl  0.5000  0.0000  0.5000
Tl  0.5000  0.5000  0.0000
Sn  0.0000  0.0000  0.0000

Results
As for the total magnetic moment: 0.000 μB per formula unit. The calculated volume comes out at 119.9 Å³ per cell. Its space-group type is Pm-3m (221). For the energy relative to the elements, the calculation gives 14 kJ/mol of formula units.

***

[7]
Density functional theory data (PBE-GGA) for a relaxed structure of Cd4Pd3Au2.

a b c (Å): 3.9302 6.7495 6.7056
angles (deg): 106.17 107.04 90.00
Element x y z (fractional)
Cd  0.5428  0.3187  0.0857
Cd  0.7797  0.6788  0.5593
Cd  0.4572  0.6813  0.9143
Cd  0.2203  0.3212  0.4407
Pd  0.8868  0.3524  0.7735
Pd  0.1132  0.6476  0.2265
Pd  0.0000  0.0000  0.0000
Au  0.3340  0.0052  0.6680
Au  0.6660  0.9948  0.3320

Results
The energy above the most stable polymorph in this dataset is 0.0165 eV/atom. As for the total magnetic moment: 0.000 μB per formula unit. The calculated volume comes out at 162.7 Å³ per cell. Its space-group type is C2/m (12). For the energy relative to the elements, the calculation gives -236 kJ/mol of formula units.

***

[8]
Density functional theory data (PBE-GGA) for a relaxed structure of YNiIr.

a b c (Å): 4.3281 4.3281 4.3281
angles (deg): 60.00 60.00 60.00
Element x y z (fractional)
Ir  0.5000  0.5000  0.5000
Ni  0.7500  0.7500  0.7500
Y  0.0000  0.0000  0.0000

Results
As for the total magnetic moment: 0.516 μB per formula unit. The calculated volume comes out at 57.3 Å³ per cell. Its space-group type is F-43m (216). For the energy relative to the elements, the calculation gives -46 kJ/mol of formula units.